BSbH | PBE-GGA | optimized geometry

```
BSbH
1.0
3.1350 0.1972 0.1422
-1.1485 6.4015 -0.2391
-0.3419 -3.5006 5.3277
B H Sb
2 2 2
direct
0.3334 0.9305 0.9891
0.7927 0.8988 0.8504
0.7801 0.8293 0.6294
0.0004 0.7470 0.8832
0.1981 0.3401 0.1486
0.3774 0.1328 0.4293
```

The calculation puts the total energy at -4.46 eV per atom. The energy above the lowest structure with this stoichiometry comes out at 25 kJ/mol of formula units.